Entry from the Alexandria database: a geometry-optimized InNi3S structure (GGA-PBE).

Unit cell a=4.209 b=4.209 c=4.209 alpha=90.00 beta=90.00 gamma=90.00
Fractional coordinates of all 5 atoms:
In: 0.500 0.500 0.500
Ni: 0.000 0.500 0.000
Ni: 0.000 0.000 0.500
Ni: 0.500 0.000 0.000
S: 0.000 0.000 0.000

Uncorrected formation energy ... -0.050 eV/atom
Space group ... Pm-3m (221)
Magnetization ... 0.0000 μB per atom



Entry from the Alexandria database: a geometry-optimized In3NiS structure (GGA-PBE).

Unit cell a=4.946 b=4.946 c=4.946 alpha=90.00 beta=90.00 gamma=90.00
Fractional coordinates of all 5 atoms:
S: 0.500 0.500 0.500
In: 0.000 0.500 0.000
In: 0.000 0.000 0.500
In: 0.500 0.000 0.000
Ni: 0.000 0.000 0.000

Uncorrected formation energy ... -0.048 eV/atom
Space group ... Pm-3m (221)
Magnetization ... 0.0000 μB per atom



Entry from the Alexandria database: a geometry-optimized In2NiS4 structure (GGA-PBE).

Unit cell a=7.472 b=7.472 c=7.472 alpha=60.00 beta=60.00 gamma=60.00
Site moments in Bohr magnetons follow the coordinates.
Fractional coordinates of all 14 atoms:
Ni: 0.750 0.750 0.750  1.10
Ni: 0.500 0.500 0.500  1.10
S: 0.375 0.375 0.874  0.12
S: 0.376 0.875 0.875  0.12
S: 0.875 0.875 0.875  0.12
S: 0.875 0.376 0.875  0.12
S: 0.874 0.375 0.375  0.12
S: 0.375 0.874 0.375  0.12
S: 0.375 0.375 0.375  0.12
S: 0.875 0.875 0.376  0.12
In: 0.125 0.625 0.125  0.00
In: 0.125 0.125 0.125  0.00
In: 0.625 0.125 0.125  0.00
In: 0.125 0.125 0.625  0.00

Uncorrected formation energy ... -0.384 eV/atom
Space group ... Fd-3m (227)
Magnetization ... 0.2716 μB per atom



Entry from the Alexandria database: a geometry-optimized InNi2S structure (GGA-PBE).

Unit cell a=4.569 b=4.569 c=7.571 alpha=72.44 beta=72.44 gamma=90.00
Fractional coordinates of all 8 atoms:
In: 0.750 0.250 0.500
In: 0.000 0.000 0.000
S: 0.500 0.500 0.000
S: 0.250 0.750 0.500
Ni: 0.491 0.125 0.250
Ni: 0.875 0.741 0.750
Ni: 0.259 0.625 0.250
Ni: 0.375 0.509 0.750

Uncorrected formation energy ... -0.144 eV/atom
Space group ... I-42d (122)
Magnetization ... 0.0000 μB per atom



Entry from the Alexandria database: a geometry-optimized InNiS2 structure (GGA-PBE).

Unit cell a=3.518 b=3.518 c=6.889 alpha=75.21 beta=75.21 gamma=60.00
Fractional coordinates of all 4 atoms:
In: 0.500 0.500 0.501
Ni: 0.667 0.667 0.998
S: 0.273 0.273 0.182
S: 0.061 0.061 0.818

Uncorrected formation energy ... -0.234 eV/atom
Space group ... R3m (160)
Magnetization ... 0.0001 μB per atom



Entry from the Alexandria database: a geometry-optimized In2NiSbS structure (GGA-PBE).

Unit cell a=5.554 b=4.034 c=5.554 alpha=90.00 beta=90.00 gamma=90.00
Fractional coordinates of all 5 atoms:
In: 0.000 0.000 0.500
In: 0.500 0.000 0.000
S: 0.000 0.000 0.000
Sb: 0.500 0.500 0.500
Ni: 0.000 0.500 0.000

Uncorrected formation energy ... 0.116 eV/atom
Space group ... P4/mmm (123)
Magnetization ... 0.0000 μB per atom